# MnBF2 (PBE+U, optimized geometry)
data_MnBF2
_cell_length_a 7.513
_cell_length_b 7.513
_cell_length_c 7.513
_cell_angle_alpha 151.41
_cell_angle_beta 151.41
_cell_angle_gamma 40.87
_space_group_name_H-M_alt 'P 1'
_space_group_IT_number 1
loop_
_space_group_symop_operation_xyz
'x,y,z'
loop_
_atom_site_label
_atom_site_fract_x
_atom_site_fract_y
_atom_site_fract_z
Mn1 0.750 0.250 0.500
Mn2 0.000 0.000 0.000
B1 0.250 0.750 0.500
B2 0.500 0.500 0.000
F1 0.636 0.125 0.011
F2 0.114 0.625 0.989
F3 0.875 0.886 0.511
F4 0.375 0.364 0.489
# Offset from the most stable computed form = 205 meV/atom
# Size of the total moment = 1.042 μB per atom
# Mass density = 3.6 g cm⁻³
# Total DFT energy (no corrections) = -4.94 eV per atom
# SG = I-42d